<A>
Material: Pr2Dy3Y3
Method: DFT, PBE
State: optimized geometry

```
Pr2Dy3Y3
1.0
24.0444 0.0000 0.0000
0.0000 3.6159 0.0000
-1.6252 0.0000 6.0447
Pr Dy Y
4 6 6
Direct
0.2494 0.0000 0.2504
0.2506 0.5000 0.7496
0.7494 0.5000 0.2504
0.7506 0.0000 0.7496
0.0000 0.5000 0.5000
0.1234 0.5000 0.2910
0.3766 0.0000 0.7090
0.5000 0.0000 0.5000
0.6234 0.0000 0.2910
0.8766 0.5000 0.7090
0.0000 0.0000 0.0000
0.1234 0.0000 0.7895
0.3766 0.5000 0.2105
0.5000 0.5000 0.0000
0.6234 0.5000 0.7895
0.8766 0.0000 0.2105
```

---

<B>
Material: Pr2Dy3Y3
Method: DFT, PBE
State: optimized geometry

```
Pr2Dy3Y3
1.0
5.0992 0.0000 0.0000
0.0000 5.0998 0.0000
0.0000 0.0000 20.2656
Pr Dy Y
4 6 6
Direct
0.0000 0.0000 0.2501
0.0000 0.0000 0.7499
0.5000 0.5000 0.2499
0.5000 0.5000 0.7501
0.0000 0.0000 0.0000
0.0000 0.5000 0.1229
0.0000 0.5000 0.8771
0.5000 0.0000 0.3771
0.5000 0.0000 0.6229
0.5000 0.5000 0.5000
0.0000 0.0000 0.5000
0.0000 0.5000 0.3771
0.0000 0.5000 0.6229
0.5000 0.0000 0.1229
0.5000 0.0000 0.8771
0.5000 0.5000 0.0000
```

---

Last place for stability: <B>

---

<A>
Material: Pr3Dy2Y7
Method: DFT, PBE
State: optimized geometry

```
Pr3Dy2Y7
1.0
1.8284 -20.6222 0.0000
1.8284 20.6222 0.0000
0.0000 0.0000 5.6529
Pr Dy Y
3 2 7
Direct
0.0000 0.0000 0.0000
0.3307 0.6693 0.5000
0.6693 0.3307 0.5000
0.1368 0.8632 0.0000
0.8632 0.1368 0.0000
0.0853 0.9147 0.5000
0.2152 0.7848 0.0000
0.4324 0.5676 0.0000
0.5000 0.5000 0.5000
0.5676 0.4324 0.0000
0.7848 0.2152 0.0000
0.9147 0.0853 0.5000
```

---

<B>
Material: Pr3Dy2Y7
Method: DFT, PBE
State: optimized geometry

```
Pr3Dy2Y7
1.0
5.8895 0.0000 0.0000
0.0000 3.6001 0.0000
-1.0189 0.0000 18.9329
Pr Dy Y
3 2 7
Direct
0.0000 0.0000 0.0000
0.2777 0.5000 0.6342
0.7223 0.5000 0.3658
0.2108 0.0000 0.2925
0.7892 0.0000 0.7075
0.1899 0.5000 0.1441
0.2429 0.0000 0.4621
0.3068 0.0000 0.8234
0.5000 0.5000 0.0000
0.6932 0.0000 0.1766
0.7571 0.0000 0.5379
0.8101 0.5000 0.8559
```

---

Last place for stability: <A>

---

<A>
Material: PrDy6Y12
Method: DFT, PBE
State: optimized geometry

```
PrDy6Y12
1.0
5.9588 3.4403 5.1053
-5.9588 3.4403 5.1053
0.0000 -6.8807 5.1053
Pr Dy Y
1 6 12
Direct
0.0000 0.0000 0.0000
0.0921 0.6894 0.2559
0.2559 0.0921 0.6894
0.3106 0.7441 0.9079
0.6894 0.2559 0.0921
0.7441 0.9079 0.3106
0.9079 0.3106 0.7441
0.0094 0.2059 0.3577
0.2059 0.3577 0.0094
0.2248 0.4564 0.5639
0.3577 0.0094 0.2059
0.4361 0.7752 0.5436
0.4564 0.5639 0.2248
0.5436 0.4361 0.7752
0.5639 0.2248 0.4564
0.6423 0.9906 0.7941
0.7752 0.5436 0.4361
0.7941 0.6423 0.9906
0.9906 0.7941 0.6423
```

---

<B>
Material: PrDy6Y12
Method: DFT, PBE
State: optimized geometry

```
PrDy6Y12
1.0
7.7766 4.4898 2.9153
-7.7766 4.4898 2.9153
0.0000 -8.9796 2.9153
Pr Dy Y
1 6 12
Direct
0.0000 0.0000 0.0000
0.0517 0.3682 0.5784
0.3682 0.5784 0.0517
0.4216 0.9483 0.6318
0.5784 0.0517 0.3682
0.6318 0.4216 0.9483
0.9483 0.6318 0.4216
0.1068 0.7369 0.1596
0.1596 0.1068 0.7369
0.2107 0.4756 0.3175
0.2631 0.8404 0.8932
0.3175 0.2107 0.4756
0.4756 0.3175 0.2107
0.5244 0.6825 0.7893
0.6825 0.7893 0.5244
0.7369 0.1596 0.1068
0.7893 0.5244 0.6825
0.8404 0.8932 0.2631
0.8932 0.2631 0.8404
```

---

Last place for stability: <A>

---

<A>
Material: Pr3Dy3Y5
Method: DFT, PBE
State: optimized geometry

```
Pr3Dy3Y5
1.0
9.7351 0.0000 0.0000
-4.8675 8.4308 0.0000
0.0000 0.0000 5.5796
Pr Dy Y
3 3 5
Direct
0.0000 0.5766 0.0000
0.4234 0.4234 0.0000
0.5766 0.0000 0.0000
0.0000 0.7258 0.5000
0.2742 0.2742 0.5000
0.7258 0.0000 0.5000
0.0000 0.3653 0.5000
0.3333 0.6667 0.5000
0.3653 0.0000 0.5000
0.6347 0.6347 0.5000
0.6667 0.3333 0.5000
```

---

<B>
Material: Pr3Dy3Y5
Method: DFT, PBE
State: optimized geometry

```
Pr3Dy3Y5
1.0
9.7312 0.0000 0.0000
-4.8656 8.4275 0.0000
0.0000 0.0000 5.4057
Pr Dy Y
3 3 5
Direct
0.0000 0.3668 0.0000
0.3668 0.0000 0.0000
0.6332 0.6332 0.0000
0.0000 0.5353 0.5000
0.4647 0.4647 0.5000
0.5353 0.0000 0.5000
0.0000 0.7386 0.0000
0.2614 0.2614 0.0000
0.3333 0.6667 0.0000
0.6667 0.3333 0.0000
0.7386 0.0000 0.0000
```

---

Last place for stability: <B>

---

<A>
Material: Pr2DyY2
Method: DFT, PBE
State: optimized geometry

```
Pr2DyY2
1.0
8.6961 0.0000 0.0000
0.0000 12.5291 0.0000
-2.0589 0.0000 6.3028
Pr Dy Y
8 4 8
Direct
0.0923 0.0469 0.2595
0.0923 0.4531 0.7595
0.3568 0.5468 0.2468
0.3568 0.9532 0.7468
0.6432 0.0468 0.2532
0.6432 0.4532 0.7532
0.9077 0.5469 0.2405
0.9077 0.9531 0.7405
0.3725 0.6567 0.7446
0.3725 0.8433 0.2446
0.6275 0.1567 0.7554
0.6275 0.3433 0.2554
0.0491 0.7062 0.9239
0.0491 0.7938 0.4239
0.2983 0.1969 0.9821
0.2983 0.3031 0.4821
0.7017 0.6969 0.5179
0.7017 0.8031 0.0179
0.9509 0.2062 0.5761
0.9509 0.2938 0.0761
```

---

<B>
Material: Pr2DyY2
Method: DFT, PBE
State: optimized geometry

```
Pr2DyY2
1.0
9.6388 0.0000 0.0000
0.0000 5.9509 0.0000
-2.6363 0.0000 5.8856
Pr Dy Y
4 2 4
Direct
0.1031 0.0000 0.3087
0.3969 0.5000 0.6913
0.6031 0.5000 0.3087
0.8969 0.0000 0.6913
0.0000 0.5000 0.5000
0.5000 0.0000 0.5000
0.1975 0.5000 0.0872
0.3025 0.0000 0.9128
0.6975 0.0000 0.0872
0.8025 0.5000 0.9128
```

---

Last place for stability: <A>